LaCd2Ir | PBE-GGA | relaxed

POSCAR file:
```
LaCd2Ir
1.0
3.339 0.004 0.000
-0.003 3.339 0.000
0.000 0.000 7.997
Cd Ir La
2 1 1
direct
0.000 0.000 0.054
0.000 0.000 0.446
0.500 0.500 0.250
0.500 0.500 0.750
```

Values from the calculation:
Space group: No. 123
Total moment: 0.011 μB/atom
Raw total energy: -15.68 eV/cell
Energy of formation from the pure elements: -16 meV/atom